Entry 1:
Cs7Au5O2 | PBEsol | optimized geometry

```
14
Lattice="5.925 0.000 0.000 0.000 9.567 0.000 -2.962 -4.784 8.392" Properties=species:S:1:pos:R:3 pbc="T T T"
Cs 2.962 2.693 5.526
Cs 2.962 7.553 0.000
Cs 2.962 -2.693 5.526
Cs 0.000 2.090 2.865
Cs 0.000 7.477 2.865
Cs 2.962 2.014 0.000
Cs 0.000 4.784 0.000
Au 2.962 4.784 2.495
Au 0.000 4.784 5.218
Au 0.000 0.000 0.000
Au 0.000 0.000 5.897
Au 2.962 0.000 3.174
O 0.000 7.566 0.000
O 0.000 2.001 0.000
```

Values from the calculation:
The formation energy (no corrections) comes out at -0.54 eV/atom. The calculated volume comes out at 476 Å³ per cell. The density comes out at 6.80 Mg/m³.

Entry 2:
CsPAuO2 | PBEsol | optimized geometry

```
5
Lattice="-2.108 2.178 2.696 -3.038 -2.680 -0.210 2.940 -3.750 5.329" Properties=species:S:1:pos:R:3 pbc="T T T"
Cs 0.000 0.000 0.000
P 1.470 -1.875 2.664
Au -1.103 -2.126 3.907
O -1.519 -1.340 -0.105
O -1.054 1.089 1.348
```

Values from the calculation:
The formation energy (no corrections) comes out at 1.08 eV/atom. The calculated volume comes out at 118 Å³ per cell. The density comes out at 5.55 Mg/m³.

Entry 3:
Cs3OsAu | PBEsol | optimized geometry

```
5
Lattice="5.817 0.000 0.000 0.000 5.817 0.000 0.000 0.000 5.817" Properties=species:S:1:pos:R:3 pbc="T T T"
Cs 0.000 2.908 0.000
Cs 0.000 0.000 2.908
Cs 2.908 0.000 0.000
Os 0.000 0.000 0.000
Au 2.908 2.908 2.908
```

Values from the calculation:
Its formation energy is 1.019 eV per atom. The calculated volume comes out at 197 Å³ per cell. The density comes out at 6.63 Mg/m³.